[1]
DFT (GGA-PBE) results for a geometry-optimized Tb2Nd2DyTm structure.

extended XYZ file:
```
12
Lattice="7.021 0.000 0.000 0.000 5.655 0.000 0.000 0.000 9.800" Properties=species:S:1:pos:R:3 pbc="T T T"
Tb 1.755 0.000 1.600
Tb 1.755 2.827 6.550
Tb 5.266 0.000 8.200
Tb 5.266 2.827 3.250
Nd 0.000 2.827 0.000
Nd 1.755 0.000 8.051
Nd 3.510 2.827 0.000
Nd 5.266 0.000 1.749
Dy 1.755 2.827 3.354
Dy 5.266 2.827 6.446
Tm 0.000 0.000 4.900
Tm 3.510 0.000 4.900
```

Computed properties:
Space-group type ... Pmma, No. 51

[2]
DFT (GGA-PBE) results for a geometry-optimized MgSc4C2 structure.

extended XYZ file:
```
14
Lattice="1.737 -5.832 0.000 1.737 5.832 0.000 0.000 0.000 12.300" Properties=species:S:1:pos:R:3 pbc="T T T"
Mg 1.737 4.479 9.225
Mg 1.737 -4.479 3.075
Sc 0.000 0.000 0.000
Sc 0.000 0.000 6.150
Sc 1.737 2.905 1.187
Sc 1.737 2.905 4.963
Sc 1.737 1.075 9.225
Sc 1.737 -1.075 3.075
Sc 1.737 -2.905 7.337
Sc 1.737 -2.905 11.114
C 1.737 1.569 6.888
C 1.737 1.569 11.562
C 1.737 -1.569 0.738
C 1.737 -1.569 5.412
```

Computed properties:
Space-group type ... Cmcm, No. 63

Looking at formation energy from the elements for the records above, in order, we have 0.4, -1.5 eV/f.u..